No. 1
The following is a PBE with a Hubbard U calculation of a relaxed structure of CaNiF5, from the Alexandria database.

CIF file:
```
data_CaNiF5
_chemical_formula_sum 'Ca4 Ni4 F20'
_symmetry_space_group_name_H-M 'P 1 21/c 1'
_symmetry_Int_Tables_number 14
_cell_length_a 5.4563
_cell_length_b 10.0953
_cell_length_c 7.6484
_cell_angle_alpha 90.00
_cell_angle_beta 110.29
_cell_angle_gamma 90.00
loop_
_symmetry_equiv_pos_as_xyz
'x,y,z'
'-x,-y,-z'
'-x,y+1/2,-z+1/2'
'x,-y+1/2,z+1/2'
loop_
_atom_site_label
_atom_site_fract_x
_atom_site_fract_y
_atom_site_fract_z
Ca1 0.0349 0.0220 0.2574
Ni1 0.3877 0.2477 0.5981
F1 0.1039 0.1222 0.5562
F2 0.1378 0.1148 0.0013
F3 0.3376 0.6367 0.3660
F4 0.3508 0.1968 0.3384
F5 0.3874 0.6075 0.8061
```

For the relative energy among the computed polymorphs, the calculation gives 4 meV per atom. As for the magnetization: 3.1 μB/f.u.

---

No. 2
The following is a PBE with a Hubbard U calculation of a relaxed structure of Ca3Ni5F12, from the Alexandria database.

CIF file:
```
data_Ca3Ni5F12
_chemical_formula_sum 'Ca24 Ni40 F96'
_symmetry_space_group_name_H-M 'I a -3 d'
_symmetry_Int_Tables_number 230
_symmetry_space_group_name_Hall '-I 4bd 2c 3'
_cell_length_a 12.9490
_cell_length_b 12.9490
_cell_length_c 12.9490
_cell_angle_alpha 90.00
_cell_angle_beta 90.00
_cell_angle_gamma 90.00
loop_
_atom_site_label
_atom_site_fract_x
_atom_site_fract_y
_atom_site_fract_z
Ca1 0.0000 0.2500 0.1250
Ni1 0.0000 0.0000 0.0000
Ni2 0.0000 0.2500 0.3750
F1 0.0181 0.0621 0.6489
```

For the uncorrected energy, the calculation gives -686.016 eV/cell. As for the magnetization: 6.9 μB/f.u.